# 1
Here is a relaxed structure of KPtW2 from the Alexandria database. Energies are from PBE.

```
data_KPtW2
_symmetry_space_group_name_H-M 'P 1'
_symmetry_Int_Tables_number 1
_cell_length_a 4.169
_cell_length_b 2.726
_cell_length_c 8.143
_cell_angle_alpha 83.78
_cell_angle_beta 90.00
_cell_angle_gamma 90.00
loop_
_symmetry_equiv_pos_as_xyz
'x,y,z'
loop_
_atom_site_label
_atom_site_fract_x
_atom_site_fract_y
_atom_site_fract_z
_atom_site_occupancy
K1 0.500 0.250 0.250 1
Pt1 0.500 0.750 0.750 1
W1 0.000 0.208 0.903 1
W2 0.000 0.292 0.597 1
```

- ΔE to the lowest computed polymorph (eV per formula unit) = 1.44
- ΔH_f (0 K) (eV/atom) = 0.874
- total magnetic moment (μB/atom) = 0.000
- symmetry = P2/m (10)

=====

# 2
Here is a relaxed structure of CaIr2F from the Alexandria database. Energies are from PBE.

```
data_CaIr2F
_symmetry_space_group_name_H-M 'P 1'
_symmetry_Int_Tables_number 1
_cell_length_a 4.547
_cell_length_b 4.547
_cell_length_c 4.547
_cell_angle_alpha 60.00
_cell_angle_beta 60.00
_cell_angle_gamma 60.00
loop_
_symmetry_equiv_pos_as_xyz
'x,y,z'
loop_
_atom_site_label
_atom_site_fract_x
_atom_site_fract_y
_atom_site_fract_z
_atom_site_occupancy
Ca1 0.500 0.500 0.500 1
Ir1 0.250 0.250 0.250 1
Ir2 0.750 0.750 0.750 1
F1 0.000 0.000 0.000 1
```

- ΔE to the lowest computed polymorph (eV per formula unit) = 6.34
- total magnetic moment (μB/atom) = 0.211
- symmetry = Fm-3m (225)

=====

# 3
Here is a relaxed structure of CaNd2Ga from the Alexandria database. Energies are from PBE.

```
data_CaNd2Ga
_symmetry_space_group_name_H-M 'P 1'
_symmetry_Int_Tables_number 1
_cell_length_a 5.486
_cell_length_b 5.486
_cell_length_c 5.486
_cell_angle_alpha 60.00
_cell_angle_beta 60.00
_cell_angle_gamma 60.00
loop_
_symmetry_equiv_pos_as_xyz
'x,y,z'
loop_
_atom_site_label
_atom_site_fract_x
_atom_site_fract_y
_atom_site_fract_z
_atom_site_occupancy
Ca1 0.000 0.000 0.000 1
Nd1 0.250 0.250 0.250 1
Nd2 0.750 0.750 0.750 1
Ga1 0.500 0.500 0.500 1
```

- ΔE to the lowest computed polymorph (eV per formula unit) = 0.36
- ΔH_f (0 K) (eV/atom) = -0.135
- total magnetic moment (μB/atom) = 0.000
- symmetry = Fm-3m (225)

=====

# 4
Here is a relaxed structure of AlHgN2 from the Alexandria database. Energies are from PBE.

```
data_AlHgN2
_symmetry_space_group_name_H-M 'P 1'
_symmetry_Int_Tables_number 1
_cell_length_a 6.414
_cell_length_b 6.414
_cell_length_c 6.414
_cell_angle_alpha 27.79
_cell_angle_beta 27.79
_cell_angle_gamma 27.79
loop_
_symmetry_equiv_pos_as_xyz
'x,y,z'
loop_
_atom_site_label
_atom_site_fract_x
_atom_site_fract_y
_atom_site_fract_z
_atom_site_occupancy
N1 0.888 0.888 0.888 1
N2 0.112 0.112 0.112 1
Hg1 0.000 0.000 0.000 1
Al1 0.500 0.500 0.500 1
```

- ΔE to the lowest computed polymorph (eV per formula unit) = 0.06
- total magnetic moment (μB/atom) = 0.000
- symmetry = R-3m (166)

=====

# 5
Here is a relaxed structure of K2Y2NpS6 from the Alexandria database. Energies are from PBE.

```
data_K2Y2NpS6
_symmetry_space_group_name_H-M 'P 1'
_symmetry_Int_Tables_number 1
_cell_length_a 6.957
_cell_length_b 6.957
_cell_length_c 7.885
_cell_angle_alpha 98.62
_cell_angle_beta 98.62
_cell_angle_gamma 119.87
loop_
_symmetry_equiv_pos_as_xyz
'x,y,z'
loop_
_atom_site_label
_atom_site_fract_x
_atom_site_fract_y
_atom_site_fract_z
_atom_site_occupancy
K1 0.831 0.169 0.000 1
K2 0.169 0.831 0.000 1
Y1 0.334 0.666 0.500 1
Y2 0.666 0.334 0.500 1
Np1 0.000 0.000 0.500 1
S1 0.741 0.741 0.695 1
S2 0.064 0.393 0.695 1
S3 0.259 0.259 0.305 1
S4 0.393 0.064 0.695 1
S5 0.936 0.607 0.305 1
S6 0.607 0.936 0.305 1
```

- VASP energy (Ry per atom) = -0.4798
- total magnetic moment (μB/atom) = 0.273
- symmetry = C2/m (12)

=====

# 6
Here is a relaxed structure of GdHoTl from the Alexandria database. Energies are from PBE.

```
data_GdHoTl
_symmetry_space_group_name_H-M 'P 1'
_symmetry_Int_Tables_number 1
_cell_length_a 5.193
_cell_length_b 5.193
_cell_length_c 5.193
_cell_angle_alpha 60.00
_cell_angle_beta 60.00
_cell_angle_gamma 60.00
loop_
_symmetry_equiv_pos_as_xyz
'x,y,z'
loop_
_atom_site_label
_atom_site_fract_x
_atom_site_fract_y
_atom_site_fract_z
_atom_site_occupancy
Tl1 0.250 0.250 0.250 1
Gd1 0.500 0.500 0.500 1
Ho1 0.000 0.000 0.000 1
```

- ΔE to the lowest computed polymorph (eV per formula unit) = 0.52
- ΔH_f (0 K) (eV/atom) = -0.061
- total magnetic moment (μB/atom) = 2.642
- symmetry = F-43m (216)

=====

Question: Number 3 is which compound?
Answer: CaNd2Ga